DFT (PBE) results for a geometry-optimized Cd2Ir structure.

Structure (extended XYZ):
```
6
Lattice="2.624 -3.455 3.424 3.992 -0.863 3.724 -2.921 0.739 6.948" Properties=species:S:1:pos:R:3 pbc="T T T"
Cd -1.994 0.496 4.820
Cd 1.553 -2.107 11.143
Cd 2.142 -1.472 2.953
Cd 5.689 -4.075 9.276
Ir 3.555 -2.771 7.743
Ir 0.140 -0.808 6.353
```

E = -20.7 eV per cell
Size of the total moment = 0.00 μB/atom
N(E_F) = 2.32 states/eV per cell
Crystal system = monoclinic



DFT (PBE) results for a geometry-optimized Cd3Ir structure.

Structure (extended XYZ):
```
4
Lattice="4.739 0.000 0.000 0.000 3.113 0.000 0.000 0.000 5.094" Properties=species:S:1:pos:R:3 pbc="T T T"
Ir 2.370 0.000 3.380
Cd 0.000 0.000 5.055
Cd 0.000 1.557 2.626
Cd 2.370 1.557 0.825
```

E = -11.1 eV per cell
Size of the total moment = 0.00 μB/atom
N(E_F) = 1.45 states/eV per cell
Crystal system = orthorhombic



DFT (PBE) results for a geometry-optimized Cd5Ir3 structure.

Structure (extended XYZ):
```
16
Lattice="8.094 0.000 0.000 4.047 7.010 0.000 0.000 0.000 5.322" Properties=species:S:1:pos:R:3 pbc="T T T"
Ir 6.486 2.785 3.992
Ir 5.655 4.225 1.331
Ir 3.216 0.000 3.992
Ir 9.702 2.785 1.331
Ir 4.878 0.000 1.331
Ir 2.439 4.225 3.992
Cd 7.093 1.734 1.331
Cd 5.048 5.276 3.992
Cd 6.049 7.010 1.331
Cd 1.001 1.734 3.992
Cd 8.094 4.673 0.000
Cd 8.094 4.673 2.661
Cd 4.047 2.337 5.322
Cd 4.047 2.337 2.661
Cd 6.093 0.000 3.992
Cd 11.140 5.276 1.331
```

Relative energy among the computed polymorphs = 3.0 meV per atom
Size of the total moment = 0.00 μB/atom
N(E_F) = 7.72 states/eV per cell
Crystal system = hexagonal



DFT (PBE) results for a geometry-optimized Cd5Ir structure.

Structure (extended XYZ):
```
6
Lattice="1.555 5.624 0.031 -1.555 5.624 0.031 0.000 2.051 6.872" Properties=species:S:1:pos:R:3 pbc="T T T"
Cd 0.000 13.114 6.912
Cd 0.000 7.439 1.723
Cd 0.000 4.329 2.332
Cd 0.000 11.930 4.252
Cd 0.000 9.054 4.835
Ir 0.000 5.110 6.525
```

Relative energy among the computed polymorphs = 11.5 meV per atom
Size of the total moment = 0.00 μB/atom
N(E_F) = 2.94 states/eV per cell
Crystal system = monoclinic



DFT (PBE) results for a geometry-optimized Cd7Ir structure.

Structure (extended XYZ):
```
8
Lattice="2.957 -5.081 1.606 -0.414 -2.091 5.709 -3.121 -5.105 1.157" Properties=species:S:1:pos:R:3 pbc="T T T"
Cd 1.478 -2.540 0.803
Cd -1.560 -2.553 0.578
Cd -0.082 -5.093 1.382
Cd -0.207 -1.045 2.855
Cd 1.271 -3.586 3.658
Cd -1.767 -3.598 3.433
Cd -0.289 -6.138 4.236
Ir 0.000 0.000 0.000
```

E = -14.5 eV per cell
Size of the total moment = 0.00 μB/atom
N(E_F) = 3.76 states/eV per cell
Crystal system = cubic



DFT (PBE) results for a geometry-optimized Cd3Ir structure.

Structure (extended XYZ):
```
4
Lattice="3.056 0.000 0.000 0.000 3.056 0.000 0.000 0.000 8.407" Properties=species:S:1:pos:R:3 pbc="T T T"
Ir 1.528 1.528 6.305
Cd 0.000 0.000 8.137
Cd 0.000 0.000 4.474
Cd 1.528 1.528 2.102
```

E = -11.1 eV per cell
Size of the total moment = 0.00 μB/atom
N(E_F) = 2.90 states/eV per cell
Crystal system = tetragonal



DFT (PBE) results for a geometry-optimized Cd2Ir structure.

Structure (extended XYZ):
```
12
Lattice="6.403 0.000 0.000 0.000 6.403 0.000 0.000 0.000 6.403" Properties=species:S:1:pos:R:3 pbc="T T T"
Ir 0.000 0.000 0.000
Ir 0.000 3.202 3.202
Ir 3.202 0.000 3.202
Ir 3.202 3.202 0.000
Cd 1.601 4.802 4.802
Cd 1.601 4.802 1.601
Cd 1.601 1.601 4.802
Cd 1.601 1.601 1.601
Cd 4.802 4.802 4.802
Cd 4.802 4.802 1.601
Cd 4.802 1.601 4.802
Cd 4.802 1.601 1.601
```

E = -39.2 eV per cell
Size of the total moment = 0.00 μB/atom
N(E_F) = 6.86 states/eV per cell
Crystal system = cubic



DFT (PBE) results for a geometry-optimized Cd3Ir4 structure.

Structure (extended XYZ):
```
7
Lattice="12.218 5.003 6.799 11.091 8.463 5.091 -12.744 -6.284 -4.317" Properties=species:S:1:pos:R:3 pbc="T T T"
Cd 0.000 0.000 0.000
Cd 16.469 9.514 8.401
Cd 6.840 3.952 3.489
Ir 20.196 11.667 10.302
Ir 13.389 7.735 6.830
Ir 9.920 5.731 5.060
Ir 3.113 1.798 1.588
```

E = -37.2 eV per cell
Size of the total moment = 0.00 μB/atom
N(E_F) = 7.82 states/eV per cell
Crystal system = tetragonal



DFT (PBE) results for a geometry-optimized Cd3Ir structure.

Structure (extended XYZ):
```
8
Lattice="-4.860 -2.943 6.835 -8.044 -3.319 1.809 7.489 0.373 -4.773" Properties=species:S:1:pos:R:3 pbc="T T T"
Cd 1.314 -1.285 1.031
Cd -1.632 -0.792 1.093
Cd -11.273 -5.471 7.551
Cd -1.912 -2.851 3.192
Cd -3.504 -3.039 0.679
Cd -0.278 -1.473 -1.482
Ir -4.869 -2.363 3.262
Ir -8.035 -3.900 5.383
```

E = -22.6 eV per cell
Size of the total moment = 0.00 μB/atom
N(E_F) = 3.40 states/eV per cell
Crystal system = tetragonal



DFT (PBE) results for a geometry-optimized Cd2Ir structure.

Structure (extended XYZ):
```
6
Lattice="-1.500 1.500 12.846 1.500 -1.500 12.846 1.500 1.500 -12.846" Properties=species:S:1:pos:R:3 pbc="T T T"
Cd 1.500 0.000 8.319
Cd 1.500 0.000 4.528
Cd 0.000 0.000 14.742
Cd 0.000 0.000 10.951
Ir 0.000 0.000 0.000
Ir 0.000 1.500 6.423
```

E = -20.3 eV per cell
Size of the total moment = 0.00 μB/atom
N(E_F) = 4.65 states/eV per cell
Crystal system = tetragonal



DFT (PBE) results for a geometry-optimized Cd3Ir structure.

Structure (extended XYZ):
```
8
Lattice="4.771 0.000 0.000 0.000 5.350 0.000 0.000 0.000 5.895" Properties=species:S:1:pos:R:3 pbc="T T T"
Cd 2.386 3.368 0.000
Cd 0.000 4.471 1.452
Cd 2.386 0.879 1.495
Cd 0.000 1.981 2.947
Cd 0.000 4.471 4.443
Cd 2.386 0.879 4.399
Ir 0.000 1.696 0.000
Ir 2.386 3.653 2.947
```

E = -22.6 eV per cell
Size of the total moment = 0.00 μB/atom
N(E_F) = 3.68 states/eV per cell
Crystal system = orthorhombic



DFT (PBE) results for a geometry-optimized Cd3Ir structure.

Structure (extended XYZ):
```
4
Lattice="-2.502 -1.085 1.134 2.377 0.179 1.743 -2.763 9.312 2.814" Properties=species:S:1:pos:R:3 pbc="T T T"
Ir -0.753 1.875 2.142
Cd -0.056 0.190 0.057
Cd -1.325 4.466 1.350
Cd -2.134 6.531 3.549
```

E = -10.8 eV per cell
Size of the total moment = 0.00 μB/atom
N(E_F) = 2.21 states/eV per cell
Crystal system = orthorhombic



Copy entry 1 word for word.
DFT (PBE) results for a geometry-optimized Cd2Ir structure.

Structure (extended XYZ):
```
6
Lattice="2.624 -3.455 3.424 3.992 -0.863 3.724 -2.921 0.739 6.948" Properties=species:S:1:pos:R:3 pbc="T T T"
Cd -1.994 0.496 4.820
Cd 1.553 -2.107 11.143
Cd 2.142 -1.472 2.953
Cd 5.689 -4.075 9.276
Ir 3.555 -2.771 7.743
Ir 0.140 -0.808 6.353
```

E = -20.7 eV per cell
Size of the total moment = 0.00 μB/atom
N(E_F) = 2.32 states/eV per cell
Crystal system = monoclinic